1.
MgPdRh | PBE | relaxed

Results
Total DFT energy (no corrections), eV for the cell shown: -14.840
ΔE to the lowest computed polymorph, meV per atom: 71
Space group: P-6m2, No. 187
Mass density, kg/m³: 8054

Geometry as extended XYZ:
```
3
Lattice="4.437 0.000 0.000 -2.219 3.843 0.000 0.000 0.000 2.825" Properties=species:S:1:pos:R:3 pbc="T T T"
Mg 0.000 0.000 0.000
Pd 0.000 2.562 1.412
Rh 2.219 1.281 1.412
```

2.
RbLiZnPbSe | PBE | relaxed

Results
Total DFT energy (no corrections), eV for the cell shown: -13.713
ΔE_f (raw), meV per atom: -473
ΔE to the lowest computed polymorph, meV per atom: 97
Space group: Cm, No. 8
Mass density, kg/m³: 5235

Geometry as extended XYZ:
```
5
Lattice="4.304 -1.891 0.000 4.304 1.891 0.000 -1.301 0.000 8.653" Properties=species:S:1:pos:R:3 pbc="T T T"
Rb 0.000 0.000 0.000
Li 5.129 0.000 3.131
Zn 7.495 0.000 4.265
Pb 1.242 0.000 5.709
Se 2.665 0.000 2.406
```